[1]
DFT (GGA-PBE) results for a relaxed KSiAu2 crystal.

* energy relative to the elements, uncorrected: 0.2714 eV/atom
* uncorrected energy: -2.997 eV per atom

```
4
Lattice="5.481 0.000 0.000 0.000 2.817 0.000 -1.472 0.000 5.632" Properties=species:S:1:pos:R:3 pbc="T T T"
K 0.000 0.000 0.000
Si 2.005 1.409 2.816
Au -0.736 0.000 2.816
Au 2.740 1.409 0.000
```

***

[2]
DFT (GGA-PBE) results for a relaxed TlOsRh2 crystal.

* ΔE to the lowest computed polymorph: 215 meV per atom
* uncorrected energy: -6.637 eV per atom

```
4
Lattice="2.885 0.000 0.000 0.000 2.885 0.000 0.000 0.000 7.791" Properties=species:S:1:pos:R:3 pbc="T T T"
Tl 0.000 0.000 0.000
Os 1.442 1.442 2.205
Rh 0.000 0.000 3.869
Rh 1.442 1.442 5.755
```

***

[3]
DFT (GGA-PBE) results for a relaxed Y2TiCd crystal.

* uncorrected energy: -4.936 eV per atom

```
16
Lattice="4.477 0.000 0.000 0.000 4.477 0.000 0.000 0.000 21.524" Properties=species:S:1:pos:R:3 pbc="T T T"
Y 1.116 1.119 2.690
Y 1.119 3.354 8.071
Y 1.119 3.361 18.833
Y 1.123 1.119 13.452
Y 3.354 3.358 13.452
Y 3.358 1.116 18.833
Y 3.358 1.123 8.071
Y 3.361 3.358 2.690
Ti 0.000 0.000 10.762
Ti 0.000 2.238 16.143
Ti 2.238 0.000 5.381
Ti 2.238 2.238 0.000
Cd 0.000 0.000 0.000
Cd 0.000 2.238 5.381
Cd 2.238 0.000 16.143
Cd 2.238 2.238 10.762
```

***

[4]
DFT (GGA-PBE) results for a relaxed Fe2SiSb crystal.

* energy relative to the elements, uncorrected: 0.3289 eV/atom
* uncorrected energy: -6.289 eV per atom

```
16
Lattice="4.049 0.000 0.000 0.000 4.049 0.000 0.000 0.000 16.331" Properties=species:S:1:pos:R:3 pbc="T T T"
Fe 0.675 1.012 2.041
Fe 1.012 2.700 6.124
Fe 1.012 3.374 14.290
Fe 1.349 1.012 10.207
Fe 2.700 3.037 10.207
Fe 3.037 0.675 14.290
Fe 3.037 1.349 6.124
Fe 3.374 3.037 2.041
Si 0.000 0.000 0.000
Si 0.000 2.025 4.083
Si 2.025 0.000 12.249
Si 2.025 2.025 8.166
Sb 0.000 0.000 8.166
Sb 0.000 2.025 12.249
Sb 2.025 0.000 4.083
Sb 2.025 2.025 0.000
```

***

[5]
DFT (GGA-PBE) results for a relaxed Sm4ZnPd crystal.

* ΔE to the lowest computed polymorph: 0 meV per atom
* uncorrected energy: -4.597 eV per atom

```
24
Lattice="0.000 6.898 6.898 6.898 0.000 6.898 6.898 6.898 0.000" Properties=species:S:1:pos:R:3 pbc="T T T"
Sm 6.898 6.898 2.551
Sm 6.898 2.551 6.898
Sm 11.244 6.898 6.898
Sm 5.412 5.412 5.412
Sm 8.383 8.383 5.412
Sm 8.383 5.412 8.383
Sm 10.347 10.347 7.679
Sm 10.347 7.679 10.347
Sm 13.014 10.347 10.347
Sm 2.551 6.898 6.898
Sm 6.898 11.244 6.898
Sm 6.898 6.898 11.244
Sm 5.412 8.383 8.383
Sm 7.679 10.347 10.347
Sm 10.347 13.014 10.347
Sm 10.347 10.347 13.014
Zn 2.347 2.347 2.347
Zn 4.551 4.551 2.347
Zn 4.551 2.347 4.551
Zn 2.347 4.551 4.551
Pd 8.336 5.459 5.459
Pd 5.459 8.336 5.459
Pd 5.459 5.459 8.336
Pd 8.336 8.336 8.336
```

***

[6]
DFT (GGA-PBE) results for a relaxed Tl2Sn2Br crystal.

* energy relative to the elements, uncorrected: -0.0616 eV/atom
* ΔE to the lowest computed polymorph: 0 meV per atom
* uncorrected energy: -2.944 eV per atom

```
10
Lattice="8.694 0.000 0.000 0.000 8.694 0.000 0.000 0.000 4.124" Properties=species:S:1:pos:R:3 pbc="T T T"
Tl 1.579 2.768 0.000
Tl 2.768 7.115 0.000
Tl 5.926 1.579 0.000
Tl 7.115 5.926 0.000
Sn 1.068 5.415 2.062
Sn 3.279 1.068 2.062
Sn 5.415 7.626 2.062
Sn 7.626 3.279 2.062
Br 0.000 0.000 2.062
Br 4.347 4.347 2.062
```

***

[7]
DFT (GGA-PBE) results for a relaxed Sr12Bi3Au5 crystal.

* uncorrected energy: -2.949 eV per atom

```
80
Lattice="-9.506 9.506 9.506 9.506 -9.506 9.506 9.506 9.506 -9.506" Properties=species:S:1:pos:R:3 pbc="T T T"
Sr 2.801 -0.503 1.276
Sr 11.458 6.029 -5.256
Sr 9.003 -1.276 2.801
Sr 14.762 -1.952 3.477
Sr 12.307 0.503 1.276
Sr 11.458 -3.477 5.256
Sr 1.276 2.801 -0.503
Sr 12.983 4.250 -1.952
Sr 6.029 5.256 -1.952
Sr 8.230 2.801 0.503
Sr -0.503 1.276 2.801
Sr 5.256 -1.952 6.029
Sr 9.003 8.230 -2.801
Sr 5.256 1.952 3.477
Sr 8.230 -2.801 9.003
Sr 6.029 -5.256 11.458
Sr 3.477 5.256 1.952
Sr 10.783 6.705 0.503
Sr 2.801 9.003 -1.276
Sr 11.458 3.477 4.250
Sr 5.256 11.458 -3.477
Sr 9.003 1.276 6.705
Sr 1.952 3.477 5.256
Sr 2.801 0.503 8.230
Sr 6.705 9.003 1.276
Sr 7.554 6.029 4.250
Sr 0.503 8.230 2.801
Sr 4.250 -1.952 12.983
Sr -1.952 6.029 5.256
Sr 6.705 0.503 10.783
Sr -1.276 2.801 9.003
Sr 6.029 4.250 7.554
Sr 3.477 14.762 -1.952
Sr 1.276 12.307 0.503
Sr 4.250 7.554 6.029
Sr 0.503 1.276 12.307
Sr 4.250 11.458 3.477
Sr 10.009 8.230 6.705
Sr 1.276 6.705 9.003
Sr 3.477 4.250 11.458
Sr -3.477 5.256 11.458
Sr 8.230 6.705 10.009
Sr -1.952 12.983 4.250
Sr -2.801 9.003 8.230
Sr -5.256 11.458 6.029
Sr 0.503 10.783 6.705
Sr -1.952 3.477 14.762
Sr 6.705 10.009 8.230
Bi 4.753 2.377 0.000
Bi 9.506 4.753 -2.377
Bi 2.377 0.000 4.753
Bi 11.883 0.000 4.753
Bi 0.000 4.753 2.377
Bi 4.753 -2.377 9.506
Bi 4.753 11.883 0.000
Bi 9.506 4.753 7.130
Bi -2.377 9.506 4.753
Bi 7.130 9.506 4.753
Bi 0.000 4.753 11.883
Bi 4.753 7.130 9.506
Au 0.000 0.000 0.000
Au 4.753 4.753 -4.753
Au 4.753 -4.753 4.753
Au 9.506 0.000 0.000
Au 14.259 2.377 0.000
Au 9.506 -4.753 7.130
Au 7.130 9.506 -4.753
Au 7.130 0.000 4.753
Au 4.753 7.130 0.000
Au 9.506 4.753 2.377
Au -4.753 4.753 4.753
Au 0.000 9.506 0.000
Au 0.000 0.000 9.506
Au 4.753 4.753 4.753
Au 0.000 4.753 7.130
Au 4.753 2.377 9.506
Au 2.377 9.506 4.753
Au 2.377 0.000 14.259
Au 0.000 14.259 2.377
Au -4.753 7.130 9.506
```

***

[8]
DFT (GGA-PBE) results for a relaxed Ti2Au crystal.

* uncorrected energy: -6.596 eV per atom

```
12
Lattice="10.027 0.000 0.000 0.000 3.037 0.000 -3.910 0.000 6.918" Properties=species:S:1:pos:R:3 pbc="T T T"
Ti -0.675 0.000 2.014
Ti 1.330 1.519 0.294
Ti -0.226 0.000 6.624
Ti 1.779 1.519 4.904
Ti 4.339 1.519 2.014
Ti 6.343 0.000 0.294
Ti 4.787 1.519 6.624
Ti 6.792 0.000 4.904
Au -0.947 1.519 4.451
Au 2.051 0.000 2.467
Au 4.066 0.000 4.451
Au 7.065 1.519 2.467
```